# ScCoF3 PBEsol optimized geometry
# E_form (uncorrected)   -195 kJ/mol of atoms
# Space group   Pm-3m
data_ScCoF3
_chemical_formula_sum 'Sc1 Co1 F3'
_space_group_name_H-M_alt 'P 1'
_space_group_IT_number 1
_cell_length_a 4.113
_cell_length_b 4.113
_cell_length_c 4.113
_cell_angle_alpha 90.00
_cell_angle_beta 90.00
_cell_angle_gamma 90.00
loop_
_space_group_symop_operation_xyz
'x,y,z'
loop_
_atom_site_label
_atom_site_type_symbol
_atom_site_fract_x
_atom_site_fract_y
_atom_site_fract_z
_atom_site_occupancy
Co1 Co 0.500 0.500 0.500 1
F1 F 0.500 0.000 0.000 1
F2 F 0.000 0.500 0.000 1
F3 F 0.000 0.000 0.500 1
Sc1 Sc 0.000 0.000 0.000 1

# Na3BrCl2 PBEsol optimized geometry
# E_form (uncorrected)   -165 kJ/mol of atoms
# Space group   I4/mmm
# E above lowest polymorph   4 meV per atom
data_Na3BrCl2
_chemical_formula_sum 'Na3 Br1 Cl2'
_space_group_name_H-M_alt 'P 1'
_space_group_IT_number 1
_cell_length_a 4.045
_cell_length_b 4.045
_cell_length_c 9.027
_cell_angle_alpha 102.95
_cell_angle_beta 102.95
_cell_angle_gamma 90.00
loop_
_space_group_symop_operation_xyz
'x,y,z'
loop_
_atom_site_label
_atom_site_type_symbol
_atom_site_fract_x
_atom_site_fract_y
_atom_site_fract_z
_atom_site_occupancy
Cl1 Cl 0.167 0.167 0.334 1
Cl2 Cl 0.833 0.833 0.666 1
Na1 Na 0.000 0.000 0.000 1
Na2 Na 0.329 0.329 0.658 1
Na3 Na 0.671 0.671 0.342 1
Br1 Br 0.500 0.500 0.000 1

# BiIr2Br PBEsol optimized geometry
# E_form (uncorrected)   89 kJ/mol of atoms
# Space group   Fm-3m
data_BiIr2Br
_chemical_formula_sum 'Bi1 Ir2 Br1'
_space_group_name_H-M_alt 'P 1'
_space_group_IT_number 1
_cell_length_a 4.683
_cell_length_b 4.683
_cell_length_c 4.683
_cell_angle_alpha 60.00
_cell_angle_beta 60.00
_cell_angle_gamma 60.00
loop_
_space_group_symop_operation_xyz
'x,y,z'
loop_
_atom_site_label
_atom_site_type_symbol
_atom_site_fract_x
_atom_site_fract_y
_atom_site_fract_z
_atom_site_occupancy
Ir1 Ir 0.750 0.750 0.750 1
Ir2 Ir 0.250 0.250 0.250 1
Bi1 Bi 0.500 0.500 0.500 1
Br1 Br 0.000 0.000 0.000 1

# TaZnIn2 PBEsol optimized geometry
# Electronic total energy   -4.800 eV/atom
# Space group   Pmm2
data_TaZnIn2
_chemical_formula_sum 'Ta1 Zn1 In2'
_space_group_name_H-M_alt 'P 1'
_space_group_IT_number 1
_cell_length_a 3.129
_cell_length_b 4.123
_cell_length_c 5.889
_cell_angle_alpha 90.00
_cell_angle_beta 90.00
_cell_angle_gamma 90.00
loop_
_space_group_symop_operation_xyz
'x,y,z'
loop_
_atom_site_label
_atom_site_type_symbol
_atom_site_fract_x
_atom_site_fract_y
_atom_site_fract_z
_atom_site_occupancy
In1 In 0.000 0.000 0.988 1
In2 In 0.500 0.500 0.270 1
Ta1 Ta 0.000 0.000 0.509 1
Zn1 Zn 0.500 0.500 0.733 1

# TcH3Au PBEsol optimized geometry
# Electronic total energy   -4.574 eV/atom
# Space group   Pm-3m
data_TcH3Au
_chemical_formula_sum 'Tc1 H3 Au1'
_space_group_name_H-M_alt 'P 1'
_space_group_IT_number 1
_cell_length_a 3.458
_cell_length_b 3.458
_cell_length_c 3.458
_cell_angle_alpha 90.00
_cell_angle_beta 90.00
_cell_angle_gamma 90.00
loop_
_space_group_symop_operation_xyz
'x,y,z'
loop_
_atom_site_label
_atom_site_type_symbol
_atom_site_fract_x
_atom_site_fract_y
_atom_site_fract_z
_atom_site_occupancy
Au1 Au 0.500 0.500 0.500 1
H1 H 0.500 0.000 0.000 1
H2 H 0.000 0.500 0.000 1
H3 H 0.000 0.000 0.500 1
Tc1 Tc 0.000 0.000 0.000 1

# SeCl2 PBEsol optimized geometry
# E_form (uncorrected)   42 kJ/mol of atoms
# Space group   I4/mmm
data_SeCl2
_chemical_formula_sum 'Se1 Cl2'
_space_group_name_H-M_alt 'P 1'
_space_group_IT_number 1
_cell_length_a 3.119
_cell_length_b 3.119
_cell_length_c 6.560
_cell_angle_alpha 103.75
_cell_angle_beta 103.75
_cell_angle_gamma 90.00
loop_
_space_group_symop_operation_xyz
'x,y,z'
loop_
_atom_site_label
_atom_site_type_symbol
_atom_site_fract_x
_atom_site_fract_y
_atom_site_fract_z
_atom_site_occupancy
Cl1 Cl 0.358 0.358 0.716 1
Cl2 Cl 0.642 0.642 0.284 1
Se1 Se 0.000 0.000 0.000 1

| no. | M_tot (Bohr magnetons per cell) | D(E_F) (states/eV per cell) |
| --- | --- | --- |
| 1 | 2.4 | 1.35 |
| 2 | 0.0 | 0.00 |
| 3 | 0.4 | 6.78 |
| 4 | 0.0 | 2.10 |
| 5 | 0.3 | 3.73 |
| 6 | 0.0 | 2.79 |